First-principles (PBE-GGA) data for a relaxed Be4TlBr crystal, as listed in Alexandria.

Unit cell a=5.020 b=5.020 c=5.020 alpha=60.00 beta=60.00 gamma=60.00
Fractional coordinates of all 6 atoms:
Br (0.250, 0.250, 0.250)
Be (0.633, 0.633, 0.102)
Be (0.102, 0.633, 0.633)
Be (0.633, 0.633, 0.633)
Be (0.633, 0.102, 0.633)
Tl (0.000, 0.000, 0.000)

## Properties
Energy relative to the elements, uncorrected: 764 meV per atom



First-principles (PBE-GGA) data for a relaxed K2Bi2Rh crystal, as listed in Alexandria.

Unit cell a=7.236 b=7.236 c=5.973 alpha=90.00 beta=90.00 gamma=90.00
Fractional coordinates of all 10 atoms:
Rh (0.000, 0.000, 0.000)
Bi (0.349, 0.849, 0.000)
K (0.326, 0.174, 0.500)
Bi (0.651, 0.151, 0.000)
Bi (0.849, 0.651, 0.000)
Rh (0.500, 0.500, 0.000)
Bi (0.151, 0.349, 0.000)
K (0.174, 0.674, 0.500)
K (0.674, 0.826, 0.500)
K (0.826, 0.326, 0.500)

## Properties
Energy of formation from the pure elements: -0.20 eV/atom



First-principles (PBE-GGA) data for a relaxed LiNbZn crystal, as listed in Alexandria.

Unit cell a=7.400 b=5.369 c=4.472 alpha=90.00 beta=90.00 gamma=90.00
Fractional coordinates of all 12 atoms:
Nb (0.157, 0.750, 0.500)
Nb (0.843, 0.250, 0.500)
Zn (0.500, 0.500, 0.500)
Zn (0.500, 0.000, 0.500)
Nb (0.657, 0.750, 0.000)
Li (0.818, 0.750, 0.500)
Zn (0.000, 0.500, 0.000)
Zn (0.000, 0.000, 0.000)
Nb (0.343, 0.250, 0.000)
Li (0.682, 0.250, 0.000)
Li (0.318, 0.750, 0.000)
Li (0.182, 0.250, 0.500)

## Properties
Energy of formation from the pure elements: 0.34 eV/atom
Distance to the lowest polymorph of the same formula: 1.16 eV/f.u.



First-principles (PBE-GGA) data for a relaxed Nd4InAg5 crystal, as listed in Alexandria.

Unit cell a=3.763 b=3.763 c=18.018 alpha=90.00 beta=90.00 gamma=90.00
Fractional coordinates of all 10 atoms:
Ag (0.500, 0.500, 0.500)
Ag (0.500, 0.500, 0.291)
Nd (0.000, 0.000, 0.605)
In (0.000, 0.000, 0.000)
Ag (0.500, 0.500, 0.088)
Nd (0.000, 0.000, 0.812)
Nd (0.000, 0.000, 0.188)
Ag (0.500, 0.500, 0.912)
Ag (0.500, 0.500, 0.709)
Nd (0.000, 0.000, 0.395)

## Properties
Energy of formation from the pure elements: -0.22 eV/atom



First-principles (PBE-GGA) data for a relaxed CsZrI3 crystal, as listed in Alexandria.

Unit cell a=12.506 b=10.682 c=10.682 alpha=78.26 beta=119.66 gamma=60.34
Fractional coordinates of all 20 atoms:
I (0.985, 0.288, 0.487)
I (0.641, 0.234, 0.151)
I (0.412, 0.428, 0.589)
I (0.088, 0.089, 0.928)
I (0.912, 0.911, 0.072)
I (0.141, 0.349, 0.266)
Zr (0.316, 0.052, 0.880)
Zr (0.816, 0.620, 0.448)
I (0.015, 0.712, 0.513)
I (0.859, 0.651, 0.734)
I (0.515, 0.987, 0.788)
I (0.359, 0.766, 0.849)
I (0.588, 0.572, 0.411)
Zr (0.184, 0.380, 0.552)
Cs (0.250, 0.581, 0.081)
Cs (0.250, 0.902, 0.402)
Cs (0.750, 0.419, 0.919)
Cs (0.750, 0.098, 0.598)
Zr (0.684, 0.948, 0.120)
I (0.485, 0.013, 0.212)

## Properties
Energy relative to the elements, uncorrected: -950 meV per atom
Distance to the lowest polymorph of the same formula: 0.44 eV/f.u.



First-principles (PBE-GGA) data for a relaxed CaInBO4 crystal, as listed in Alexandria.

Unit cell a=5.355 b=5.355 c=6.265 alpha=90.00 beta=90.00 gamma=114.38
Fractional coordinates of all 14 atoms:
Ca (0.500, 0.500, 0.500)
O (0.833, 0.750, 0.250)
O (0.755, 0.245, 0.561)
In (0.158, 0.842, 0.750)
O (0.750, 0.833, 0.750)
O (0.167, 0.250, 0.750)
O (0.245, 0.755, 0.061)
B (0.144, 0.856, 0.250)
Ca (0.500, 0.500, 0.000)
O (0.755, 0.245, 0.939)
O (0.250, 0.167, 0.250)
O (0.245, 0.755, 0.439)
B (0.856, 0.144, 0.750)
In (0.842, 0.158, 0.250)

## Properties
Energy relative to the elements, uncorrected: -2209 meV per atom



First-principles (PBE-GGA) data for a relaxed MgCdGeC2 crystal, as listed in Alexandria.

Unit cell a=4.275 b=5.296 c=4.275 alpha=90.00 beta=90.00 gamma=90.00
Each line ends with the local moment (μB).
Fractional coordinates of all 5 atoms:
Cd (0.000, 0.000, 0.000)  0.02
Mg (0.000, 0.500, 0.000)  0.00
C (0.000, 0.000, 0.500)  0.22
Ge (0.500, 0.500, 0.500)  -0.03
C (0.500, 0.000, 0.000)  0.23

## Properties
Energy of formation from the pure elements: 2.33 eV/atom



First-principles (PBE-GGA) data for a relaxed RbCoSeBr2 crystal, as listed in Alexandria.

Unit cell a=5.474 b=5.474 c=4.626 alpha=90.00 beta=90.00 gamma=90.00
Each line ends with the local moment (μB).
Fractional coordinates of all 5 atoms:
Se (0.000, 0.000, 0.500)  0.36
Br (0.000, 0.500, 0.000)  0.07
Br (0.500, 0.000, 0.000)  0.07
Co (0.000, 0.000, 0.000)  2.02
Rb (0.500, 0.500, 0.500)  0.00

## Properties
Energy relative to the elements, uncorrected: -574 meV per atom
Distance to the lowest polymorph of the same formula: 0.00 eV/f.u.